Version a
Ag4Rh: relaxed, PBE.

Values from the calculation:
V	127	Å³ per cell

a b c (Å): 5.021 5.021 5.021
angles (deg): 90.00 90.00 90.00
Each line ends with the local moment (μB).
Positions (direct):
Ag1 0.500 0.500 0.000  0.04
Ag2 0.500 0.000 0.500  0.04
Ag3 0.000 0.500 0.500  0.04
Ag4 0.000 0.000 0.000  0.01
Rh1 0.500 0.500 0.500  0.67


Version b
Ag4Rh: relaxed, PBE.

Values from the calculation:
V	96	Å³ per cell

a b c (Å): 7.392 7.392 7.392
angles (deg): 150.76 150.76 41.82
Each line ends with the local moment (μB).
Positions (direct):
Ag1 0.250 0.750 0.500  0.00
Ag2 0.750 0.250 0.500  0.00
Ag3 0.405 0.405 0.000  0.02
Ag4 0.595 0.595 0.000  0.02
Rh1 0.000 0.000 0.000  0.73


Stability comparison, relative energies in meV/atom: version a 485; version b 0


Version a
Ag4Rh: relaxed, PBE.

Values from the calculation:
V	85	Å³ per cell

a b c (Å): 12.063 12.063 12.063
angles (deg): 13.65 13.65 13.65
Each line ends with the local moment (μB).
Positions (direct):
Ag1 0.299 0.299 0.299  0.01
Ag2 0.102 0.102 0.102  0.01
Ag3 0.898 0.898 0.898  0.01
Ag4 0.701 0.701 0.701  0.01
Rh1 0.500 0.500 0.500  0.72


Version b
Ag4Rh: relaxed, PBE.

Values from the calculation:
V	85	Å³ per cell

a b c (Å): 7.656 7.656 7.656
angles (deg): 158.77 148.37 38.41
Each line ends with the local moment (μB).
Positions (direct):
Rh1 0.500 0.500 0.000  0.46
Ag1 0.097 0.097 0.000  0.01
Ag2 0.302 0.302 0.000  0.00
Ag3 0.903 0.903 0.000  0.01
Ag4 0.698 0.698 0.000  0.00


Stability comparison, relative energies in meV/atom: version a 0; version b 13


Version a
Ag4Rh: relaxed, PBE.

Values from the calculation:
V	85	Å³ per cell

a b c (Å): 4.989 4.989 4.989
angles (deg): 99.82 99.82 131.21
Positions (direct):
Rh1 0.000 0.000 0.000
Ag1 0.797 0.398 0.196
Ag2 0.203 0.602 0.804
Ag3 0.602 0.797 0.399
Ag4 0.398 0.203 0.601


Version b
Ag4Rh: relaxed, PBE.

Values from the calculation:
V	85	Å³ per cell

a b c (Å): 10.704 10.704 10.704
angles (deg): 164.72 164.72 21.67
Each line ends with the local moment (μB).
Positions (direct):
Ag1 0.301 0.301 0.000  0.00
Ag2 0.904 0.904 0.000  0.01
Ag3 0.096 0.096 0.000  0.01
Ag4 0.699 0.699 0.000  0.00
Rh1 0.500 0.500 0.000  0.62


Stability comparison, relative energies in meV/atom: version a 16; version b 0